VASP calculation (GGA+U) on a geometry-optimized Tl2InNi3F12 structure.

For the total energy, the calculation gives -4.1764 eV per atom.

The structure belongs to space group R-3m (No. 166, hexagonal axes); the cell edges are 7.2818, 7.2818 and 18.5475 Å and the angles 90.00°, 90.00° and 120.00°. The distinct sites, in fractional coordinates, are Tl at (0.0000, 0.0000, 0.1156), In at (0.0000, 0.0000, 0.5000), Ni at (0.0000, 0.5000, 0.0000), F at (0.0476, 0.5238, 0.1080) and F at (0.0718, 0.5359, 0.3485).